Here is a relaxed structure of Ca2Sc2Pb2S from the Alexandria database. Energies are from PBE.

Output
Magnetization: 0.000 μB per formula unit
Total energy: -4.972 eV/atom
Raw formation energy: -942 meV/atom
Crystal system: tetragonal

abc: 4.8461 4.8461 16.5226
angles: 90.00 90.00 90.00
Closest atoms and distances in Å follow each position.
Space group I4/mmm (No. 139)
Asymmetric unit:
Ca1 0.0000 0.0000 0.1727  1 S 2.85
Sc1 0.0000 0.5000 0.0000  2 S 2.42
Pb1 0.0000 0.0000 0.3722  4 Sc 3.21, 5 Ca 3.30-3.51
S1 0.0000 0.0000 0.0000  4 Sc 2.42